## NbZnFe2 (PBE-GGA)

Data for NbZnFe2 after structural relaxation.

Calculated values
Raw total energy = -27.6 eV/f.u.
SG = F-43m
Energy of formation = 89 meV/atom

a b c (Å): 4.276 4.276 4.276
angles (deg): 60.00 60.00 60.00
Atoms (fractional coordinates):
Nb: 0.000 0.000 0.000
Zn: 0.750 0.750 0.750
Fe: 0.250 0.250 0.250
Fe: 0.500 0.500 0.500